No. 1
Computed, not measured: Li4FeSi2O8 after structural relaxation at the PBEsol level of DFT.

a = 4.656 Å, b = 5.216 Å, c = 6.106 Å
α = 98.55°, β = 91.68°, γ = 102.75°
Space group P-1 (No. 2)
One atom of each set of equivalent atoms:
Li: 0.168 0.307 0.037 [2 per cell]
Li: 0.249 0.550 0.676 [2 per cell]
Fe: 0.000 0.000 0.500 [1 per cell]
Si: 0.370 0.852 0.230 [2 per cell]
O: 0.176 0.710 0.423 [2 per cell]
O: 0.261 0.691 0.986 [2 per cell]
O: 0.271 0.141 0.291 [2 per cell]
O: 0.281 0.160 0.732 [2 per cell]

Results
* density: 3.12 g/cm3
* DOS(E_F): 0.306 states/eV/atom
* formation energy from raw total energies: -33.017 eV/f.u.
* size of the total moment: 0.1333 μB per atom

No. 2
Computed, not measured: Li2FeSi4O10 after structural relaxation at the PBEsol level of DFT.

a = 6.775 Å, b = 7.566 Å, c = 9.401 Å
α = 99.33°, β = 102.86°, γ = 116.18°
Space group P-1 (No. 2)
One atom of each set of equivalent atoms:
Li: 0.147 0.299 0.031 [2 per cell]
Li: 0.285 0.813 0.448 [2 per cell]
Fe: 0.274 0.196 0.574 [2 per cell]
Si: 0.139 0.860 0.731 [2 per cell]
Si: 0.274 0.097 0.227 [2 per cell]
Si: 0.293 0.562 0.819 [2 per cell]
Si: 0.366 0.770 0.147 [2 per cell]
O: 0.047 0.130 0.186 [2 per cell]
O: 0.089 0.886 0.562 [2 per cell]
O: 0.127 0.639 0.726 [2 per cell]
O: 0.181 0.861 0.117 [2 per cell]
O: 0.220 0.331 0.740 [2 per cell]
O: 0.271 0.575 0.993 [2 per cell]
O: 0.379 0.697 0.297 [2 per cell]
O: 0.388 0.118 0.402 [2 per cell]
O: 0.393 0.039 0.851 [2 per cell]
O: 0.433 0.271 0.155 [2 per cell]

Results
* density: 2.82 g/cm3
* DOS(E_F): 0.080 states/eV/atom
* formation energy from raw total energies: -41.213 eV/f.u.
* size of the total moment: 0.2353 μB per atom

No. 3
Computed, not measured: Li2FeSiO4 after structural relaxation at the PBEsol level of DFT.

a = 6.214 Å, b = 5.308 Å, c = 4.939 Å
α = 90.00°, β = 90.00°, γ = 90.00°
Space group Pmn2_1 (No. 31)
One atom of each set of equivalent atoms:
Li: 0.249 0.166 0.000 [4 per cell]
Fe: 0.000 0.673 0.001 [2 per cell]
Si: 0.000 0.335 0.494 [2 per cell]
O: 0.000 0.328 0.161 [2 per cell]
O: 0.000 0.631 0.596 [2 per cell]
O: 0.217 0.187 0.603 [4 per cell]

Results
* density: 3.30 g/cm3
* offset from the most stable computed form: 0 meV/atom
* DOS(E_F): 0.556 states/eV/atom
* formation energy from raw total energies: -16.835 eV/f.u.
* size of the total moment: 0.5000 μB per atom

No. 4
Computed, not measured: LiFeSiO4 after structural relaxation at the PBEsol level of DFT.

a = 7.165 Å, b = 7.275 Å, c = 6.583 Å
α = 90.00°, β = 90.00°, γ = 90.00°
Space group C222_1 (No. 20)
One atom of each set of equivalent atoms:
Li: 0.000 0.192 0.250 [4 per cell]
Fe: 0.000 0.183 0.750 [4 per cell]
Si: 0.178 0.500 0.000 [4 per cell]
O: 0.049 0.314 0.988 [8 per cell]
O: 0.189 0.009 0.702 [8 per cell]

Results
* density: 3.00 g/cm3
* offset from the most stable computed form: 30 meV/atom
* formation energy from raw total energies: -14.481 eV/f.u.
* size of the total moment: 0.7143 μB per atom

No. 5
Computed, not measured: LiFeSiO4 after structural relaxation at the PBEsol level of DFT.

a = 13.6810 Å, b = 13.6810 Å, c = 9.3318 Å
α = 90.00°, β = 90.00°, γ = 120.00°
Space group R-3 (No. 148, hexagonal axes)
One atom of each set of equivalent atoms:
Li: 0.0183 0.2126 0.2518 [18 per cell]
Fe: 0.0143 0.2106 0.9089 [18 per cell]
Si: 0.0194 0.2087 0.5764 [18 per cell]
O: 0.0035 0.3181 0.5651 [18 per cell]
O: 0.0752 0.2028 0.7277 [18 per cell]
O: 0.0867 0.2152 0.0773 [18 per cell]
O: 0.0946 0.2032 0.4397 [18 per cell]

Results
* density: 3.06 g/cm3
* offset from the most stable computed form: 51 meV/atom
* formation energy from raw total energies: -14.336 eV/f.u.
* size of the total moment: 0.7146 μB per atom

No. 6
Computed, not measured: Li2FeSiO4 after structural relaxation at the PBEsol level of DFT.

a = 5.0146 Å, b = 5.0146 Å, c = 11.3740 Å
α = 90.00°, β = 90.00°, γ = 120.00°
Space group P3_121 (No. 152)
One atom of each set of equivalent atoms:
Li: 0.1177 0.6714 0.4136 [6 per cell]
Fe: 0.0000 0.5442 0.1667 [3 per cell]
Si: 0.0000 0.8112 0.6667 [3 per cell]
O: 0.1211 0.6861 0.7767 [6 per cell]
O: 0.1397 0.8521 0.0412 [6 per cell]

Results
* density: 3.25 g/cm3
* offset from the most stable computed form: 42 meV/atom
* formation energy from raw total energies: -16.501 eV/f.u.
* size of the total moment: 0.5000 μB per atom